No. 1
SmZrAu | OQMD | GGA-PBE | optimized geometry; magnetization = 0.0 μB/f.u.; E_form = 0.55 eV per atom; distance to the lowest polymorph of the same formula = 0.2654 eV per atom; space-group type = No. 216; V = 25.809 Å³/atom; E = -4.96 eV per atom
1.0
6.766 0.000 0.000
0.000 6.766 0.000
0.000 0.000 6.766
Sm Zr Au
4 4 4
direct
0.000 0.000 0.000
0.000 0.500 0.500
0.500 0.000 0.500
0.500 0.500 0.000
0.250 0.250 0.250
0.250 0.750 0.750
0.750 0.250 0.750
0.750 0.750 0.250
0.250 0.250 0.750
0.250 0.750 0.250
0.750 0.250 0.250
0.750 0.750 0.750

No. 2
SnAu17 | OQMD | GGA-PBE | optimized geometry; distance to the lowest polymorph of the same formula = 0.0000 eV per atom; space-group type = No. 11; V = 26.986 Å³/atom; E = -3.28 eV per atom
1.0
5.031 0.000 0.000
0.000 5.793 0.000
-0.070 0.000 33.335
Sn Au
2 34
direct
0.167 0.250 0.307
0.833 0.750 0.693
0.000 0.000 0.000
0.000 0.500 0.000
0.001 0.002 0.221
0.001 0.498 0.221
0.166 0.250 0.852
0.167 0.250 0.074
0.167 0.750 0.074
0.168 0.750 0.296
0.168 0.750 0.853
0.333 0.001 0.703
0.333 0.001 0.926
0.333 0.499 0.703
0.333 0.499 0.926
0.334 0.000 0.147
0.334 0.500 0.147
0.498 0.250 0.221
0.499 0.250 0.780
0.500 0.250 0.000
0.500 0.750 0.000
0.501 0.750 0.220
0.502 0.750 0.779
0.666 0.000 0.853
0.666 0.500 0.853
0.667 0.501 0.074
0.667 0.501 0.297
0.667 0.999 0.074
0.667 0.999 0.297
0.832 0.250 0.147
0.832 0.250 0.704
0.833 0.250 0.926
0.833 0.750 0.926
0.834 0.750 0.148
0.999 0.502 0.779
0.999 0.998 0.779